(1)
The following is a PBE-GGA calculation of a relaxed structure of Ac2PmPrAs4, from Alexandria via LeMat-Bulk.

DFT formation energy = -11.8 eV per formula unit
E_tot = -48.19 eV for the cell shown

a = 7.6369 Å, b = 4.4127 Å, c = 7.6513 Å
α = 90.00°, β = 109.40°, γ = 90.00°
Closest atoms and distances in Å follow each position.
Space group P2/m (No. 10)
Asymmetric unit:
Ac: 0.0000 0.0000 0.0000  6 As 3.17
Ac: 0.5000 0.5000 0.0000  6 As 3.19
Pm: 0.0000 0.5000 0.5000  6 As 3.05-3.06
Pr: 0.5000 0.0000 0.5000  6 As 3.07
As: 0.2435 0.0000 0.7356  2 Pm 3.06, 1 Pr 3.07, 3 Ac 3.17-3.19
As: 0.2525 0.5000 0.2633  1 Pm 3.05, 2 Pr 3.07, 3 Ac 3.17-3.19

(2)
The following is a PBE-GGA calculation of a relaxed structure of Ac2PmPr3As6, from Alexandria via LeMat-Bulk.

DFT formation energy = -17.7 eV per formula unit
E_tot = -145.87 eV for the cell shown

a = 19.0946 Å, b = 4.3815 Å, c = 8.7713 Å
α = 90.00°, β = 103.33°, γ = 90.00°
Closest atoms and distances in Å follow each position.
Space group C2/m (No. 12)
Asymmetric unit:
Ac: 0.1652 0.0000 0.3310  6 As 3.13-3.18
Pm: 0.0000 0.5000 0.0000  6 As 3.07-3.08
Pr: 0.0000 0.5000 0.5000  6 As 3.05-3.12
Pr: 0.1664 0.0000 0.8349  6 As 3.03-3.13
As: 0.0031 0.0000 0.7549  3 Pr 3.03-3.12, 2 Pm 3.08, 1 Ac 3.13
As: 0.1639 0.5000 0.5904  3 Pr 3.05-3.06, 3 Ac 3.16-3.18
As: 0.1650 0.5000 0.0743  3 Pr 3.04-3.13, 1 Pm 3.07, 2 Ac 3.14

(3)
The following is a PBE-GGA calculation of a relaxed structure of AcPmAs2Pt2, from Alexandria via LeMat-Bulk.

DFT formation energy = -7.5 eV per formula unit
E_tot = -37.77 eV for the cell shown

a = 4.3969 Å, b = 4.3969 Å, c = 8.2492 Å
α = 90.00°, β = 90.00°, γ = 120.00°
Closest atoms and distances in Å follow each position.
Space group P-3m1 (No. 164)
Asymmetric unit:
Ac: 0.0000 0.0000 0.0000  6 Pt 3.32, 6 As 3.38
Pm: 0.0000 0.0000 0.5000  6 As 3.17, 6 Pt 3.23
As: 0.3333 0.6667 0.2698  3 Pt 2.54
Pt: 0.3333 0.6667 0.7413  3 As 2.54

(4)
The following is a PBE-GGA calculation of a relaxed structure of AcPmPu2As4, from Alexandria via LeMat-Bulk.

DFT formation energy = -9.8 eV per formula unit
E_tot = -65.93 eV for the cell shown

a = 7.3632 Å, b = 4.2719 Å, c = 7.4093 Å
α = 90.00°, β = 109.51°, γ = 90.00°
Closest atoms and distances in Å follow each position.
Space group P2/m (No. 10)
Asymmetric unit:
Ac: 0.0000 0.0000 0.0000  6 As 3.13
Pm: 0.0000 0.5000 0.5000  6 As 3.05-3.06
Pu: 0.5000 0.0000 0.5000  6 As 2.90
Pu: 0.5000 0.5000 0.0000  6 As 2.98-2.99
As: 0.2657 0.0000 0.7468  3 Pu 2.90-2.98, 2 Pm 3.06, 1 Ac 3.13
As: 0.2720 0.5000 0.2662  3 Pu 2.90-2.99, 1 Pm 3.05, 2 Ac 3.13

(5)
The following is a PBE-GGA calculation of a relaxed structure of AcPm2PuAs4, from Alexandria via LeMat-Bulk.

DFT formation energy = -10.7 eV per formula unit
E_tot = -57.27 eV for the cell shown

a = 7.4391 Å, b = 4.3012 Å, c = 7.4482 Å
α = 90.00°, β = 109.41°, γ = 90.00°
Closest atoms and distances in Å follow each position.
Space group P2/m (No. 10)
Asymmetric unit:
Ac: 0.0000 0.0000 0.0000  6 As 3.11
Pm: 0.0000 0.5000 0.5000  6 As 3.07-3.08
Pm: 0.5000 0.0000 0.5000  6 As 2.97
Pu: 0.5000 0.5000 0.0000  6 As 3.01
As: 0.2616 0.0000 0.7504  3 Pm 2.97-3.08, 2 Pu 3.01, 1 Ac 3.11
As: 0.2640 0.5000 0.2584  3 Pm 2.97-3.07, 1 Pu 3.01, 2 Ac 3.11

(6)
The following is a PBE-GGA calculation of a relaxed structure of AcPmAsRh, from Alexandria via LeMat-Bulk.

DFT formation energy = -3.0 eV per formula unit
E_tot = -95.62 eV for the cell shown

a = 7.4070 Å, b = 7.4070 Å, c = 7.4070 Å
α = 90.00°, β = 90.00°, γ = 90.00°
Closest atoms and distances in Å follow each position.
Space group F-43m (No. 216)
Asymmetric unit:
Ac: 0.0000 0.0000 0.0000  4 As 3.21, 4 Rh 3.21
Pm: 0.0000 0.0000 0.5000  4 As 3.21, 4 Rh 3.21
As: 0.2500 0.2500 0.7500  4 Ac 3.21, 4 Pm 3.21
Rh: 0.2500 0.2500 0.2500  4 Ac 3.21, 4 Pm 3.21

(7)
The following is a PBE-GGA calculation of a relaxed structure of AcPmAs2Rh2, from Alexandria via LeMat-Bulk.

DFT formation energy = -6.5 eV per formula unit
E_tot = -39.34 eV for the cell shown

a = 4.2905 Å, b = 4.2905 Å, c = 8.4236 Å
α = 90.00°, β = 90.00°, γ = 120.00°
Closest atoms and distances in Å follow each position.
Space group P-3m1 (No. 164)
Asymmetric unit:
Ac: 0.0000 0.0000 0.0000  6 Rh 3.28, 6 As 3.38
Pm: 0.0000 0.0000 0.5000  6 As 3.13, 6 Rh 3.23
As: 0.3333 0.6667 0.2722  3 Rh 2.48
Rh: 0.3333 0.6667 0.7454  3 As 2.48

(8)
The following is a PBE-GGA calculation of a relaxed structure of AcPmSbAs, from Alexandria via LeMat-Bulk.

E_form (uncorrected) = -0.954 eV/atom
Relative energy among the computed polymorphs = 200 meV/atom
E_tot = -85.78 eV for the cell shown

a = 7.7832 Å, b = 7.7832 Å, c = 7.7832 Å
α = 90.00°, β = 90.00°, γ = 90.00°
Closest atoms and distances in Å follow each position.
Space group F-43m (No. 216)
Asymmetric unit:
Ac: 0.0000 0.0000 0.0000  4 Sb 3.37, 4 As 3.37
Pm: 0.0000 0.0000 0.5000  4 As 3.37, 4 Sb 3.37
Sb: 0.2500 0.2500 0.2500  4 Pm 3.37, 4 Ac 3.37
As: 0.2500 0.2500 0.7500  4 Ac 3.37, 4 Pm 3.37

Copy entry 8 word for word.
The following is a PBE-GGA calculation of a relaxed structure of AcPmSbAs, from Alexandria via LeMat-Bulk.

E_form (uncorrected) = -0.954 eV/atom
Relative energy among the computed polymorphs = 200 meV/atom
E_tot = -85.78 eV for the cell shown

a = 7.7832 Å, b = 7.7832 Å, c = 7.7832 Å
α = 90.00°, β = 90.00°, γ = 90.00°
Closest atoms and distances in Å follow each position.
Space group F-43m (No. 216)
Asymmetric unit:
Ac: 0.0000 0.0000 0.0000  4 Sb 3.37, 4 As 3.37
Pm: 0.0000 0.0000 0.5000  4 As 3.37, 4 Sb 3.37
Sb: 0.2500 0.2500 0.2500  4 Pm 3.37, 4 Ac 3.37
As: 0.2500 0.2500 0.7500  4 Ac 3.37, 4 Pm 3.37

What is the formula in the fourth record?
AcPmPu2As4

Copy entry 8 word for word.
The following is a PBE-GGA calculation of a relaxed structure of AcPmSbAs, from Alexandria via LeMat-Bulk.

E_form (uncorrected) = -0.954 eV/atom
Relative energy among the computed polymorphs = 200 meV/atom
E_tot = -85.78 eV for the cell shown

a = 7.7832 Å, b = 7.7832 Å, c = 7.7832 Å
α = 90.00°, β = 90.00°, γ = 90.00°
Closest atoms and distances in Å follow each position.
Space group F-43m (No. 216)
Asymmetric unit:
Ac: 0.0000 0.0000 0.0000  4 Sb 3.37, 4 As 3.37
Pm: 0.0000 0.0000 0.5000  4 As 3.37, 4 Sb 3.37
Sb: 0.2500 0.2500 0.2500  4 Pm 3.37, 4 Ac 3.37
As: 0.2500 0.2500 0.7500  4 Ac 3.37, 4 Pm 3.37

What is the formula in the first record?
Ac2PmPrAs4